1.
VASP calculation (PBE-GGA) on a relaxed structure of UTl3Cu2O6.

Results
Its mass density is 8.490 g/cm³.

a = 5.8248 Å, b = 11.3441 Å, c = 6.3712 Å
α = 90.00°, β = 93.47°, γ = 90.00°
Last column: nearest neighbours and their distance in Å.
Space group C2/m (No. 12)
Unique sites:
U: 0.0000 0.0000 0.0000 [2 per cell]  6 O 2.04-2.16
Tl: 0.0000 0.1787 0.5000 [4 per cell]  2 O 2.50
Tl: 0.0000 0.5000 0.5000 [2 per cell]  2 O 2.63
Cu: 0.0000 0.2673 0.0000 [4 per cell]  4 O 2.00-2.08
O: 0.1230 0.0000 0.7070 [4 per cell]  1 U 2.04
O: 0.2361 0.1387 0.0986 [8 per cell]  2 Cu 2.00-2.08, 1 U 2.16



2.
VASP calculation (PBE-GGA) on a relaxed structure of UTlCuO5.

Results
Its mass density is 7.638 g/cm³.

a = 6.7482 Å, b = 10.4185 Å, c = 7.9110 Å
α = 90.00°, β = 113.63°, γ = 90.00°
Last column: nearest neighbours and their distance in Å.
Space group C2/c (No. 15)
Unique sites:
U: 0.2500 0.2500 0.0000 [4 per cell]  2 O 1.92
Tl: 0.0000 0.0588 0.2500 [4 per cell]  2 O 2.16
Cu: 0.0000 0.4491 0.2500 [4 per cell]  4 O 1.96-2.01
O: 0.0000 0.1746 0.7500 [4 per cell]  2 U 2.17
O: 0.0332 0.3233 0.0708 [8 per cell]  1 U 1.92, 1 Cu 2.01
O: 0.2435 0.0581 0.1382 [8 per cell]  1 Cu 1.96, 1 Tl 2.16



3.
VASP calculation (PBE-GGA) on a relaxed structure of U3Tl4CuO12.

Results
Its mass density is 9.230 g/cm³.

a = 8.6314 Å, b = 8.6314 Å, c = 8.6314 Å
α = 90.00°, β = 90.00°, γ = 90.00°
Last column: nearest neighbours and their distance in Å.
Space group Im-3m (No. 229)
Unique sites:
U: 0.0000 0.0000 0.5000 [6 per cell]  6 O 1.99-2.16
Tl: 0.2500 0.2500 0.2500 [8 per cell]  12 O 3.05-3.06
Cu: 0.0000 0.0000 0.0000 [2 per cell]  6 O 2.33
O: 0.0000 0.0000 0.2700 [12 per cell]  1 U 1.99
O: 0.0000 0.2500 0.5000 [12 per cell]  2 U 2.16



| no. | density of states at the Fermi level (states/eV/cell) | E (eV/atom) | formation energy from raw total energies (meV/atom) |
| --- | --- | --- | --- |
| 1 | 6.4 | -6.051 | -1357 |
| 2 | 15.9 | -7.053 | -1735 |
| 3 | 13.6 | -7.448 | -2102 |